Record 1
# Ba5ThSb4 | Alexandria | GGA-PBE | relaxed
# **Formation energy without anion corrections**: -0.848 eV/atom
# **Electronic total energy**: -4.20 eV per atom
data_Ba5ThSb4
_chemical_formula_sum 'Ba10 Th2 Sb8'
_space_group_name_H-M_alt 'C 1 2/m 1'
_space_group_IT_number 12
_space_group_name_Hall '-C 2y'
_cell_length_a 21.250
_cell_length_b 4.877
_cell_length_c 9.586
_cell_angle_alpha 90.00
_cell_angle_beta 103.90
_cell_angle_gamma 90.00
loop_
_atom_site_label
_atom_site_type_symbol
_atom_site_fract_x
_atom_site_fract_y
_atom_site_fract_z
Ba1 Ba 0.000 0.000 0.000
Ba2 Ba 0.162 0.500 0.832
Ba3 Ba 0.169 0.500 0.345
Th1 Th 0.000 0.000 0.500
Sb1 Sb 0.002 0.500 0.271
Sb2 Sb 0.158 0.000 0.587



Record 2
# PmPrY3 | Alexandria | GGA-PBE | relaxed
# **Excess energy over the best structure of this formula in the dataset**: 97 meV/atom
# **E_form**: 0.11 eV per atom
# **Electronic total energy**: -5.67 eV per atom
data_PmPrY3
_chemical_formula_sum 'Pm8 Pr8 Y24'
_space_group_name_H-M_alt 'C 1 2/c 1'
_space_group_IT_number 15
_space_group_name_Hall '-C 2yc'
_cell_length_a 9.152
_cell_length_b 15.082
_cell_length_c 9.965
_cell_angle_alpha 90.00
_cell_angle_beta 100.53
_cell_angle_gamma 90.00
loop_
_atom_site_label
_atom_site_type_symbol
_atom_site_fract_x
_atom_site_fract_y
_atom_site_fract_z
Pm1 Pm 0.000 0.016 0.250
Pm2 Pm 0.000 0.405 0.750
Pr1 Pr 0.238 0.048 0.544
Y1 Y 0.071 0.190 0.943
Y2 Y 0.096 0.396 0.118
Y3 Y 0.200 0.223 0.315



Record 3
# La2ErThAs4 | Alexandria | GGA-PBE | relaxed
# **E_form**: -1.53 eV per atom
# **Electronic total energy**: -6.59 eV per atom
data_La2ErThAs4
_chemical_formula_sum 'La2 Er1 Th1 As4'
_space_group_name_H-M_alt 'P 1 2/m 1'
_space_group_IT_number 10
_space_group_name_Hall '-P 2y'
_cell_length_a 7.370
_cell_length_b 4.273
_cell_length_c 7.425
_cell_angle_alpha 90.00
_cell_angle_beta 109.41
_cell_angle_gamma 90.00
loop_
_atom_site_label
_atom_site_type_symbol
_atom_site_fract_x
_atom_site_fract_y
_atom_site_fract_z
La1 La 0.000 0.000 0.000
La2 La 0.500 0.500 0.000
Er1 Er 0.000 0.500 0.500
Th1 Th 0.500 0.000 0.500
As1 As 0.242 0.000 0.736
As2 As 0.250 0.500 0.261



Record 4
# LiSmLuCo | Alexandria | GGA-PBE | relaxed
# **E_form**: -0.07 eV per atom
# **Electronic total energy**: -4.63 eV per atom
data_LiSmLuCo
_chemical_formula_sum 'Li4 Sm4 Lu4 Co4'
_space_group_name_H-M_alt 'F -4 3 m'
_space_group_IT_number 216
_space_group_name_Hall 'F -4 2 3'
_cell_length_a 6.872
_cell_length_b 6.872
_cell_length_c 6.872
_cell_angle_alpha 90.00
_cell_angle_beta 90.00
_cell_angle_gamma 90.00
loop_
_atom_site_label
_atom_site_type_symbol
_atom_site_fract_x
_atom_site_fract_y
_atom_site_fract_z
Li1 Li 0.000 0.000 0.000
Sm1 Sm 0.250 0.250 0.250
Lu1 Lu 0.250 0.250 0.750
Co1 Co 0.000 0.000 0.500